Density functional theory data (PBE) for ZnSbP2 after structural relaxation.

a = 3.362 Å, b = 3.362 Å, c = 7.346 Å
α = 90.00°, β = 90.00°, γ = 112.01°
Atoms (fractional coordinates):
P1 0.000 0.000 0.971
P2 0.000 0.000 0.529
Sb1 0.500 0.500 0.250
Zn1 0.500 0.500 0.750

Properties
Fermi-level density of states in states/eV per cell: 2.61
Offset from the most stable computed form in meV/atom: 359.0

---

Density functional theory data (PBE) for ZnSbP2 after structural relaxation.

a = 6.503 Å, b = 6.503 Å, c = 6.503 Å
α = 33.95°, β = 33.95°, γ = 33.95°
Atoms (fractional coordinates):
P1 0.006 0.006 0.006
P2 0.494 0.494 0.494
Sb1 0.250 0.250 0.250
Zn1 0.750 0.750 0.750

Properties
Fermi-level density of states in states/eV per cell: 1.78
Offset from the most stable computed form in meV/atom: 26.4

---

Density functional theory data (PBE) for Zn3SbP after structural relaxation.

a = 4.720 Å, b = 4.720 Å, c = 4.720 Å
α = 90.00°, β = 90.00°, γ = 90.00°
Atoms (fractional coordinates):
Sb1 0.500 0.500 0.500
Zn1 0.000 0.500 0.000
Zn2 0.000 0.000 0.500
Zn3 0.500 0.000 0.000
P1 0.000 0.000 0.000

Properties
Fermi-level density of states in states/eV per cell: 4.53
Offset from the most stable computed form in meV/atom: 262.3

---

Density functional theory data (PBE) for Zn4SbP after structural relaxation.

a = 5.313 Å, b = 5.313 Å, c = 5.313 Å
α = 60.00°, β = 60.00°, γ = 60.00°
Atoms (fractional coordinates):
Zn1 0.625 0.625 0.126
Zn2 0.625 0.126 0.625
Zn3 0.625 0.625 0.625
Zn4 0.126 0.625 0.625
Sb1 0.000 0.000 0.000
P1 0.250 0.250 0.250

Properties
Fermi-level density of states in states/eV per cell: 4.61

---

Density functional theory data (PBE) for ZnSbP2 after structural relaxation.

a = 9.182 Å, b = 9.182 Å, c = 9.182 Å
α = 21.06°, β = 21.06°, γ = 21.06°
Atoms (fractional coordinates):
P1 0.998 0.998 0.998
P2 0.286 0.286 0.286
Sb1 0.480 0.480 0.480
Zn1 0.736 0.736 0.736

Properties
Fermi-level density of states in states/eV per cell: 0.87
Offset from the most stable computed form in meV/atom: 48.2

---

Density functional theory data (PBE) for Zn2SbP after structural relaxation.

a = 3.639 Å, b = 4.059 Å, c = 5.739 Å
α = 70.57°, β = 90.00°, γ = 90.00°
Atoms (fractional coordinates):
Zn1 0.000 0.015 0.017
Zn2 0.500 0.580 0.662
Sb1 0.500 0.404 0.217
P1 0.000 0.002 0.604

Properties
Fermi-level density of states in states/eV per cell: 1.16
Offset from the most stable computed form in meV/atom: 117.8

---

Let's list formation energy from raw total energies in order: 1.836; 0.506; 1.388; 1.926; 0.593; 0.732 eV per formula unit.
Let's list calculated volume in order: 77.0; 76.4; 105.2; 106.1; 87.5; 79.9 Å³ per cell.